# 1
Density functional theory data (PBE) for a relaxed structure of ScTaOs2.

It has space group Pnma (No. 62), with a = 7.555 Å, b = 6.909 Å, c = 5.456 Å, α = 90.00°, β = 90.00° and γ = 90.00°. Symmetry generates all atoms from Sc at (0.036, 0.250, 0.134), Ta at (0.086, 0.750, 0.365) and Os at (0.205, 0.047, 0.594).

The energy of formation comes out at 0.041 eV/f.u. The calculation puts the polymorph energy (0 for the lowest one) at 0.544 eV per atom.

=====

# 2
Density functional theory data (PBE) for a relaxed structure of ScTaOs2.

It has space group F-43m (No. 216), with a = 6.350 Å, b = 6.350 Å, c = 6.350 Å, α = 90.00°, β = 90.00° and γ = 90.00°. Symmetry generates all atoms from Sc at (0.000, 0.000, 0.000), Ta at (0.250, 0.250, 0.250), Os at (0.000, 0.000, 0.500) and Os at (0.250, 0.250, 0.750).

The energy of formation comes out at 0.024 eV/f.u. The calculation puts the polymorph energy (0 for the lowest one) at 0.540 eV per atom.

=====

# 3
Density functional theory data (PBE) for a relaxed structure of ScTaOs2.

It has space group Fm-3m (No. 225), with a = 6.374 Å, b = 6.374 Å, c = 6.374 Å, α = 90.00°, β = 90.00° and γ = 90.00°. Symmetry generates all atoms from Sc at (0.000, 0.000, 0.000), Ta at (0.000, 0.000, 0.500) and Os at (0.250, 0.250, 0.250).

The energy of formation comes out at -2.135 eV/f.u. The calculation puts the polymorph energy (0 for the lowest one) at 0.000 eV per atom.

=====

# 4
Density functional theory data (PBE) for a relaxed structure of ScTaOs2.

It has space group P4/mmm (No. 123), with a = 3.187 Å, b = 3.187 Å, c = 6.438 Å, α = 90.00°, β = 90.00° and γ = 90.00°. Symmetry generates all atoms from Sc at (0.000, 0.000, 0.000), Ta at (0.000, 0.000, 0.500) and Os at (0.500, 0.500, 0.260).

The energy of formation comes out at -2.080 eV/f.u. The calculation puts the polymorph energy (0 for the lowest one) at 0.014 eV per atom.

=====

# 5
Density functional theory data (PBE) for a relaxed structure of ScTaOs2.

It has space group Fm-3m (No. 225), with a = 6.374 Å, b = 6.374 Å, c = 6.374 Å, α = 90.00°, β = 90.00° and γ = 90.00°. Symmetry generates all atoms from Sc at (0.000, 0.000, 0.000), Ta at (0.000, 0.000, 0.500) and Os at (0.250, 0.250, 0.250).

The energy of formation comes out at -2.135 eV/f.u. The calculation puts the polymorph energy (0 for the lowest one) at 0.000 eV per atom.

=====

# 6
Density functional theory data (PBE) for a relaxed structure of ScTcOs.

It has space group P4/nmm (No. 129, origin choice 2), with a = 3.184 Å, b = 3.184 Å, c = 9.248 Å, α = 90.00°, β = 90.00° and γ = 90.00°. Symmetry generates all atoms from Sc at (0.250, 0.250, 0.250), Tc at (0.250, 0.250, 0.576) and Os at (0.250, 0.250, 0.921).

The energy of formation comes out at -0.183 eV/f.u. The calculation puts the polymorph energy (0 for the lowest one) at 0.020 eV per atom.

=====

- What is the formula in the first record?
  ScTaOs2

=====

- polymorph energy (0 for the lowest one) of number 4 (ScTaOs2)?
  0.014 eV per atom